(1)
Cs4GeI6 PBE relaxed; E_form (uncorrected) = -1.23 eV per atom
1.0
7.354 4.246 6.168
-7.354 4.246 6.168
0.000 -8.492 6.168
Cs Ge I
8 2 12
direct
0.127 0.750 0.373
0.250 0.250 0.250
0.250 0.627 0.873
0.373 0.127 0.750
0.627 0.873 0.250
0.750 0.373 0.127
0.750 0.750 0.750
0.873 0.250 0.627
0.000 0.000 0.000
0.500 0.500 0.500
0.060 0.932 0.720
0.068 0.280 0.940
0.220 0.432 0.560
0.280 0.940 0.068
0.432 0.560 0.220
0.440 0.780 0.568
0.560 0.220 0.432
0.568 0.440 0.780
0.720 0.060 0.932
0.780 0.568 0.440
0.932 0.720 0.060
0.940 0.068 0.280

(2)
TlC PBE relaxed; E_form = 4.16 eV per formula unit; distance to the lowest polymorph of the same formula = 1298 meV/atom
1.0
10.721 0.000 0.000
0.000 3.385 0.000
0.000 0.000 6.159
Tl C
6 6
direct
0.000 0.067 0.000
0.178 0.334 0.537
0.322 0.666 0.037
0.500 0.933 0.500
0.678 0.666 0.037
0.822 0.334 0.537
0.000 0.535 0.716
0.184 0.159 0.179
0.316 0.841 0.679
0.500 0.465 0.216
0.684 0.841 0.679
0.816 0.159 0.179

(3)
Pr2ScAu PBE relaxed; E_form = 0.21 eV per formula unit; distance to the lowest polymorph of the same formula = 365 meV/atom
1.0
1.724 0.995 11.384
-1.724 0.995 11.384
0.000 -1.991 11.384
Pr Sc Au
2 1 1
direct
0.095 0.095 0.095
0.905 0.905 0.905
0.000 0.000 0.000
0.500 0.500 0.500

(4)
Rb2CaH2F6 PBE relaxed; raw total energy = -4.57 eV per atom
1.0
4.827 -3.021 0.000
4.827 3.021 0.000
-3.899 0.000 5.818
Rb Ca H F
2 1 2 6
direct
0.227 0.227 0.178
0.773 0.773 0.822
0.000 0.000 0.500
0.391 0.391 0.752
0.609 0.609 0.248
0.247 0.737 0.722
0.263 0.753 0.278
0.295 0.295 0.767
0.705 0.705 0.233
0.737 0.247 0.722
0.753 0.263 0.278

no.,calculated density (g cm⁻³)
1,3.925
2,9.645
3,7.420
4,3.200